This record from Alexandria describes ZrSc2In after structural relaxation. The functional is PBE-GGA.

Cell: 3.2654 3.2654 33.2450 Å, 90.00 90.00 120.00°
Space group R-3m (No. 166, hexagonal axes)
Symmetry-distinct sites (fractional):
Zr1 0.0000 0.0000 0.0000 [3 per cell]
Sc1 0.0000 0.0000 0.4085 [6 per cell]
In1 0.0000 0.0000 0.5000 [3 per cell]

Output
The energy of formation is 90 meV/atom. For the theoretical density, the calculation gives 4.802 g cm⁻³. For the total magnetization, the calculation gives 0.0 μB per formula unit.

=====

This record from Alexandria describes HgPb4Br8 after structural relaxation. The functional is PBE-GGA.

Cell: 21.430 4.501 14.420 Å, 90.00 130.00 90.00°
Space group Cm (No. 8)
Symmetry-distinct sites (fractional):
Hg1 0.000 0.000 0.000 [2 per cell]
Pb1 0.146 0.000 0.461 [2 per cell]
Pb2 0.160 0.500 0.828 [2 per cell]
Pb3 0.343 0.000 0.177 [2 per cell]
Pb4 0.358 0.500 0.544 [2 per cell]
Br1 0.042 0.000 0.764 [2 per cell]
Br2 0.126 0.500 0.583 [2 per cell]
Br3 0.173 0.500 0.345 [2 per cell]
Br4 0.217 0.500 0.083 [2 per cell]
Br5 0.286 0.000 0.922 [2 per cell]
Br6 0.330 0.000 0.660 [2 per cell]
Br7 0.377 0.000 0.421 [2 per cell]
Br8 0.461 0.500 0.240 [2 per cell]

Output
For the theoretical density, the calculation gives 5.200 g cm⁻³. For the total magnetization, the calculation gives 0.0 μB per formula unit. The value obtained for the uncorrected formation energy is -80.4 kJ per mole of atoms.